LaHoTm2Se6 | Alexandria via LeMat-Bulk | PBE-GGA | relaxed; raw total energy = -5.807 eV/atom; symmetry = R3 (146); D(E_F) = 0.00 states/eV per atom; energy relative to the elements, uncorrected = -1871.3 meV/atom
1.0
3.6322 2.0970 6.4424
-3.6322 2.0970 6.4424
0.0000 -4.1941 6.4424
La Ho Tm Se
1 1 2 6
direct
0.0000 0.0000 0.0000
0.4912 0.4912 0.4912
0.2933 0.2933 0.2933
0.7981 0.7981 0.7981
0.0794 0.6687 0.4249
0.1952 0.5784 0.8984
0.4249 0.0794 0.6687
0.5784 0.8984 0.1952
0.6687 0.4249 0.0794
0.8984 0.1952 0.5784

---

La2Ho3TmSe6 | Alexandria via LeMat-Bulk | PBE-GGA | relaxed; raw total energy = -5.880 eV/atom; symmetry = C2/m (12); D(E_F) = 0.52 states/eV per atom; energy relative to the elements, uncorrected = -1799.0 meV/atom
1.0
9.0243 -2.0492 0.0000
9.0243 2.0492 0.0000
-1.9859 0.0000 8.1212
La Ho Tm Se
2 3 1 6
direct
0.1672 0.1672 0.3350
0.8328 0.8328 0.6650
0.1710 0.1710 0.8344
0.5000 0.5000 0.5000
0.8290 0.8290 0.1656
0.5000 0.5000 0.0000
0.0061 0.0061 0.7563
0.3366 0.3366 0.9321
0.3386 0.3386 0.4049
0.6614 0.6614 0.5951
0.6634 0.6634 0.0679
0.9939 0.9939 0.2437

---

LaHoTm2Se4 | Alexandria via LeMat-Bulk | PBE-GGA | relaxed; raw total energy = -5.801 eV/atom; symmetry = P2/m (10); D(E_F) = 0.55 states/eV per atom; energy relative to the elements, uncorrected = -1753.0 meV/atom
1.0
7.0527 0.0000 0.0000
0.0000 4.0296 0.0000
-2.3065 0.0000 6.8744
La Ho Tm Se
1 1 2 4
direct
0.0000 0.0000 0.0000
0.5000 0.5000 0.0000
0.0000 0.5000 0.5000
0.5000 0.0000 0.5000
0.2545 0.0000 0.7389
0.2646 0.5000 0.2679
0.7354 0.5000 0.7321
0.7455 0.0000 0.2611

---

LaHo2TmSe6 | Alexandria via LeMat-Bulk | PBE-GGA | relaxed; raw total energy = -5.819 eV/atom; symmetry = R3 (146); D(E_F) = 0.00 states/eV per atom; energy relative to the elements, uncorrected = -1872.8 meV/atom
1.0
3.6396 2.1013 6.4739
-3.6396 2.1013 6.4739
0.0000 -4.2026 6.4739
La Ho Tm Se
1 2 1 6
direct
0.0000 0.0000 0.0000
0.2933 0.2933 0.2933
0.7987 0.7987 0.7987
0.4909 0.4909 0.4909
0.0847 0.6726 0.4213
0.2021 0.5824 0.8920
0.4213 0.0847 0.6726
0.5824 0.8920 0.2021
0.6726 0.4213 0.0847
0.8920 0.2021 0.5824

---

La2HoTm3Se6 | Alexandria via LeMat-Bulk | PBE-GGA | relaxed; raw total energy = -5.846 eV/atom; symmetry = C2/m (12); D(E_F) = 0.48 states/eV per atom; energy relative to the elements, uncorrected = -1783.3 meV/atom
1.0
9.0406 -2.0326 0.0000
9.0406 2.0326 0.0000
-2.1612 0.0000 8.0932
La Ho Tm Se
2 1 3 6
direct
0.1668 0.1668 0.3338
0.8332 0.8332 0.6662
0.5000 0.5000 0.0000
0.1700 0.1700 0.8339
0.5000 0.5000 0.5000
0.8300 0.8300 0.1661
0.0068 0.0068 0.7504
0.3341 0.3341 0.9341
0.3391 0.3391 0.4033
0.6609 0.6609 0.5967
0.6659 0.6659 0.0659
0.9932 0.9932 0.2496

---

La4Y3HoSe8 | Alexandria via LeMat-Bulk | PBE-GGA | relaxed; raw total energy = -6.356 eV/atom; symmetry = R-3m (166); D(E_F) = 0.65 states/eV per atom; energy relative to the elements, uncorrected = -1883.5 meV/atom
1.0
4.1693 2.4071 6.9399
-4.1693 2.4071 6.9399
0.0000 -4.8143 6.9399
La Y Ho Se
4 3 1 8
direct
0.0000 0.0000 0.0000
0.0000 0.5000 0.5000
0.5000 0.0000 0.5000
0.5000 0.5000 0.0000
0.0000 0.0000 0.5000
0.0000 0.5000 0.0000
0.5000 0.0000 0.0000
0.5000 0.5000 0.5000
0.2439 0.2439 0.2439
0.2453 0.7425 0.7425
0.2575 0.2575 0.7547
0.2575 0.7547 0.2575
0.7425 0.2453 0.7425
0.7425 0.7425 0.2453
0.7547 0.2575 0.2575
0.7561 0.7561 0.7561

---

LaY2HoSe4 | Alexandria via LeMat-Bulk | PBE-GGA | relaxed; raw total energy = -6.350 eV/atom; symmetry = P2/m (10); D(E_F) = 0.63 states/eV per atom; energy relative to the elements, uncorrected = -1803.9 meV/atom
1.0
7.1514 0.0000 0.0000
0.0000 4.0878 0.0000
-2.3414 0.0000 6.8550
La Y Ho Se
1 2 1 4
direct
0.0000 0.0000 0.0000
0.5000 0.0000 0.5000
0.5000 0.5000 0.0000
0.0000 0.5000 0.5000
0.2532 0.0000 0.7419
0.2606 0.5000 0.2632
0.7394 0.5000 0.7368
0.7468 0.0000 0.2581

---

LaYHo2Se4 | Alexandria via LeMat-Bulk | PBE-GGA | relaxed; raw total energy = -6.107 eV/atom; symmetry = P2/m (10); D(E_F) = 0.63 states/eV per atom; energy relative to the elements, uncorrected = -1796.1 meV/atom
1.0
7.1435 0.0000 0.0000
0.0000 4.0707 0.0000
-2.3250 0.0000 6.8519
La Y Ho Se
1 1 2 4
direct
0.0000 0.0000 0.0000
0.5000 0.5000 0.0000
0.0000 0.5000 0.5000
0.5000 0.0000 0.5000
0.2542 0.0000 0.7409
0.2626 0.5000 0.2651
0.7374 0.5000 0.7349
0.7458 0.0000 0.2591

---

LaY2HoSe6 | Alexandria via LeMat-Bulk | PBE-GGA | relaxed; raw total energy = -6.220 eV/atom; symmetry = R3 (146); D(E_F) = 0.00 states/eV per atom; energy relative to the elements, uncorrected = -1885.5 meV/atom
1.0
3.6591 2.1126 6.5013
-3.6591 2.1126 6.5013
0.0000 -4.2251 6.5013
La Y Ho Se
1 2 1 6
direct
0.0000 0.0000 0.0000
0.2938 0.2938 0.2938
0.7985 0.7985 0.7985
0.4922 0.4922 0.4922
0.0862 0.6754 0.4188
0.2010 0.5845 0.8934
0.4188 0.0862 0.6754
0.5845 0.8934 0.2010
0.6754 0.4188 0.0862
0.8934 0.2010 0.5845

---

LaY2Ho3Se6 | Alexandria via LeMat-Bulk | PBE-GGA | relaxed; raw total energy = -6.156 eV/atom; symmetry = C2/m (12); D(E_F) = 0.50 states/eV per atom; energy relative to the elements, uncorrected = -1781.3 meV/atom
1.0
3.5434 -6.1699 0.0000
3.5434 6.1699 0.0000
-2.3793 0.0000 6.7332
La Y Ho Se
1 2 3 6
direct
0.0000 0.0000 0.0000
0.3329 0.6671 0.0000
0.6671 0.3329 0.0000
0.1615 0.8385 0.5000
0.5000 0.5000 0.5000
0.8385 0.1615 0.5000
0.0869 0.4306 0.2604
0.2587 0.2587 0.7448
0.4306 0.0869 0.2604
0.5694 0.9131 0.7396
0.7413 0.7413 0.2552
0.9131 0.5694 0.7396

---

La2YHoSe6 | Alexandria via LeMat-Bulk | PBE-GGA | relaxed; raw total energy = -6.101 eV/atom; symmetry = R3 (146); D(E_F) = 0.00 states/eV per atom; energy relative to the elements, uncorrected = -1920.5 meV/atom
1.0
3.7173 2.1462 6.4850
-3.7173 2.1462 6.4850
0.0000 -4.2924 6.4850
La Y Ho Se
2 1 1 6
direct
0.0000 0.0000 0.0000
0.5001 0.5001 0.5001
0.2046 0.2046 0.2046
0.7045 0.7045 0.7045
0.0795 0.8252 0.4212
0.3268 0.5808 0.9199
0.4212 0.0795 0.8252
0.5808 0.9199 0.3268
0.8252 0.4212 0.0795
0.9199 0.3268 0.5808

---

LaY3Ho4Se8 | Alexandria via LeMat-Bulk | PBE-GGA | relaxed; raw total energy = -6.170 eV/atom; symmetry = R-3m (166); D(E_F) = 0.66 states/eV per atom; energy relative to the elements, uncorrected = -1763.8 meV/atom
1.0
4.1003 2.3673 6.7069
-4.1003 2.3673 6.7069
0.0000 -4.7346 6.7069
La Y Ho Se
1 3 4 8
direct
0.0000 0.0000 0.0000
0.0000 0.5000 0.5000
0.5000 0.0000 0.5000
0.5000 0.5000 0.0000
0.0000 0.0000 0.5000
0.0000 0.5000 0.0000
0.5000 0.0000 0.0000
0.5000 0.5000 0.5000
0.2489 0.2489 0.2489
0.2544 0.7433 0.7433
0.2567 0.2567 0.7456
0.2567 0.7456 0.2567
0.7433 0.2544 0.7433
0.7433 0.7433 0.2544
0.7456 0.2567 0.2567
0.7511 0.7511 0.7511